DFT (GGA-PBEsol) results for Cu2TePb after structural relaxation.

The value obtained for the density of states at the Fermi level is 3.95 states/eV per cell. The energy above the most stable polymorph in this dataset is 0.0000 eV/atom. Its uncorrected formation energy is 0.05 eV/atom. The size of the total moment comes out at 0.0 Bohr magnetons per cell.

It has space group R3m (No. 160, hexagonal axes), with a = 4.0657 Å, b = 4.0657 Å, c = 17.8884 Å, α = 90.00°, β = 90.00° and γ = 120.00°. The distinct sites, in fractional coordinates, are Cu at (0.0000, 0.0000, 0.0000), Cu at (0.0000, 0.0000, 0.3017), Te at (0.0000, 0.0000, 0.5696) and Pb at (0.0000, 0.0000, 0.7545).